Entry 1:
DFT (PBE) results for Pr5SmTl4 after structural relaxation.

## Properties
For the mass density, the calculation gives 8.9 g cm⁻³. The value obtained for the raw total energy is -4.106 eV per atom.

a = 3.702 Å, b = 3.702 Å, c = 22.871 Å
α = 90.00°, β = 90.00°, γ = 90.00°
Fractional coordinates of all 10 atoms:
Pr (0.000, 0.000, 0.000)
Pr (0.000, 0.000, 0.193)
Pr (0.000, 0.000, 0.386)
Pr (0.000, 0.000, 0.614)
Pr (0.000, 0.000, 0.807)
Sm (0.500, 0.500, 0.500)
Tl (0.500, 0.500, 0.097)
Tl (0.500, 0.500, 0.290)
Tl (0.500, 0.500, 0.710)
Tl (0.500, 0.500, 0.903)

Entry 2:
DFT (PBE) results for SrSc3Zn after structural relaxation.

## Properties
For the mass density, the calculation gives 3.3 g cm⁻³. The value obtained for the raw total energy is -4.180 eV per atom.

a = 5.266 Å, b = 5.266 Å, c = 5.266 Å
α = 90.00°, β = 90.00°, γ = 90.00°
Fractional coordinates of all 5 atoms:
Sr (0.000, 0.000, 0.000)
Sc (0.000, 0.500, 0.500)
Sc (0.500, 0.000, 0.500)
Sc (0.500, 0.500, 0.000)
Zn (0.500, 0.500, 0.500)

Entry 3:
DFT (PBE) results for BeFe2N after structural relaxation.

## Properties
For the mass density, the calculation gives 5.5 g cm⁻³. The calculation puts the formation energy from raw total energies at 0.3036 eV per atom. The value obtained for the raw total energy is -6.941 eV per atom.

a = 6.628 Å, b = 6.628 Å, c = 6.628 Å
α = 23.55°, β = 23.55°, γ = 23.55°
Fractional coordinates of all 4 atoms:
Be (0.000, 0.000, 0.000)
Fe (0.110, 0.110, 0.110)
Fe (0.890, 0.890, 0.890)
N (0.500, 0.500, 0.500)

Entry 4:
DFT (PBE) results for TaCoB2 after structural relaxation.

## Properties
For the mass density, the calculation gives 10.8 g cm⁻³. The value obtained for the raw total energy is -7.814 eV per atom.

a = 3.845 Å, b = 3.845 Å, c = 3.845 Å
α = 60.00°, β = 60.00°, γ = 60.00°
Fractional coordinates of all 4 atoms:
Ta (0.000, 0.000, 0.000)
Co (0.500, 0.500, 0.500)
B (0.250, 0.250, 0.250)
B (0.750, 0.750, 0.750)

Entry 5:
DFT (PBE) results for Hf2UGa9 after structural relaxation.

## Properties
For the mass density, the calculation gives 9.5 g cm⁻³. The value obtained for the raw total energy is -5.206 eV per atom.

a = 4.145 Å, b = 4.145 Å, c = 12.487 Å
α = 90.00°, β = 90.00°, γ = 90.00°
Fractional coordinates of all 12 atoms:
Hf (0.000, 0.000, 0.161)
Hf (0.000, 0.000, 0.839)
U (0.000, 0.000, 0.500)
Ga (0.000, 0.500, 0.000)
Ga (0.000, 0.500, 0.327)
Ga (0.000, 0.500, 0.673)
Ga (0.500, 0.000, 0.000)
Ga (0.500, 0.000, 0.327)
Ga (0.500, 0.000, 0.673)
Ga (0.500, 0.500, 0.166)
Ga (0.500, 0.500, 0.500)
Ga (0.500, 0.500, 0.834)

Entry 6:
DFT (PBE) results for DyHo2Lu after structural relaxation.

## Properties
For the mass density, the calculation gives 8.9 g cm⁻³. The value obtained for the raw total energy is -4.428 eV per atom.

a = 5.596 Å, b = 5.596 Å, c = 5.596 Å
α = 60.00°, β = 60.00°, γ = 60.00°
Fractional coordinates of all 4 atoms:
Dy (0.000, 0.000, 0.000)
Ho (0.250, 0.250, 0.250)
Ho (0.750, 0.750, 0.750)
Lu (0.500, 0.500, 0.500)

Entry 7:
DFT (PBE) results for LaReP2 after structural relaxation.

## Properties
For the mass density, the calculation gives 9.1 g cm⁻³. The value obtained for the raw total energy is -7.340 eV per atom.

a = 4.635 Å, b = 4.635 Å, c = 4.635 Å
α = 60.00°, β = 60.00°, γ = 60.00°
Fractional coordinates of all 4 atoms:
La (0.000, 0.000, 0.000)
Re (0.500, 0.500, 0.500)
P (0.250, 0.250, 0.250)
P (0.750, 0.750, 0.750)

Entry 8:
DFT (PBE) results for NiSb4Te after structural relaxation.

## Properties
For the mass density, the calculation gives 6.7 g cm⁻³. The calculation puts the formation energy from raw total energies at 0.7156 eV per atom. The value obtained for the raw total energy is -3.520 eV per atom.

a = 6.166 Å, b = 6.166 Å, c = 6.166 Å
α = 60.00°, β = 60.00°, γ = 60.00°
Fractional coordinates of all 6 atoms:
Ni (0.000, 0.000, 0.000)
Sb (0.123, 0.626, 0.626)
Sb (0.626, 0.123, 0.626)
Sb (0.626, 0.626, 0.123)
Sb (0.626, 0.626, 0.626)
Te (0.250, 0.250, 0.250)

Entry 9:
DFT (PBE) results for ReTeNF2 after structural relaxation.

## Properties
For the mass density, the calculation gives 6.7 g cm⁻³. The calculation puts the formation energy from raw total energies at 0.8701 eV per atom. The value obtained for the raw total energy is -4.662 eV per atom.

a = 4.672 Å, b = 4.672 Å, c = 4.135 Å
α = 90.00°, β = 90.00°, γ = 90.00°
Fractional coordinates of all 5 atoms:
Re (0.000, 0.000, 0.000)
Te (0.500, 0.500, 0.500)
N (0.500, 0.500, 0.000)
F (0.000, 0.500, 0.500)
F (0.500, 0.000, 0.500)

Entry 10:
DFT (PBE) results for KBeSe after structural relaxation.

## Properties
For the mass density, the calculation gives 2.3 g cm⁻³. The calculation puts the formation energy from raw total energies at -0.5957 eV per atom. The value obtained for the raw total energy is -3.365 eV per atom.

a = 4.776 Å, b = 6.157 Å, c = 6.941 Å
α = 75.42°, β = 89.99°, γ = 67.32°
Fractional coordinates of all 6 atoms:
K (0.000, 0.000, 0.000)
K (0.209, 0.581, 0.628)
Be (0.159, 0.142, 0.397)
Be (0.702, 0.142, 0.397)
Se (0.317, 0.370, 0.166)
Se (0.511, 0.980, 0.660)

Entry 11:
DFT (PBE) results for CaTc2Hg after structural relaxation.

## Properties
For the mass density, the calculation gives 8.1 g cm⁻³. The value obtained for the raw total energy is -5.336 eV per atom.

a = 5.350 Å, b = 5.350 Å, c = 5.049 Å
α = 109.19°, β = 109.19°, γ = 41.62°
Fractional coordinates of all 4 atoms:
Ca (0.000, 0.000, 0.000)
Tc (0.237, 0.237, 0.624)
Tc (0.763, 0.763, 0.376)
Hg (0.500, 0.500, 0.500)

Entry 12:
DFT (PBE) results for Rb2GeTeBr6 after structural relaxation.

## Properties
For the mass density, the calculation gives 3.9 g cm⁻³. The calculation puts the formation energy from raw total energies at -0.8704 eV per atom. The value obtained for the raw total energy is -2.844 eV per atom.

a = 8.068 Å, b = 8.068 Å, c = 8.068 Å
α = 120.87°, β = 120.87°, γ = 88.50°
Fractional coordinates of all 10 atoms:
Rb (0.250, 0.750, 0.500)
Rb (0.750, 0.250, 0.500)
Ge (0.000, 0.000, 0.000)
Te (0.500, 0.500, 0.000)
Br (0.235, 0.235, 0.000)
Br (0.242, 0.242, 0.484)
Br (0.242, 0.758, 0.000)
Br (0.758, 0.242, 0.000)
Br (0.758, 0.758, 0.516)
Br (0.765, 0.765, 0.000)